An optimized crystal structure of HfAg2Pd2, computed with PBE.

The calculation puts the size of the total moment at 0.0 μB per cell. Its crystal system is tetragonal. Its total energy is -52.69 eV per cell. Its formation energy is -60 meV/atom. The density of states at the Fermi level comes out at 0.761 states/eV per atom. The volume is 17.81 Å³ per atom.

It has space group P4/mbm (No. 127), with a = 7.600 Å, b = 7.600 Å, c = 3.084 Å, α = 90.00°, β = 90.00° and γ = 90.00°. The asymmetric unit holds Hf at (0.000, 0.000, 0.000), Ag at (0.127, 0.373, 0.000) and Pd at (0.172, 0.672, 0.500).